VASP calculation (GGA-PBE) on crystalline Ho2ZnGa9 at its relaxed geometry.

a b c (Å): 4.2629 4.2629 12.4385
angles (deg): 90.00 90.00 90.00
Space group P4/mmm (No. 123)
One atom of each set of equivalent atoms:
Ho1 0.0000 0.0000 0.1722 (multiplicity 2)
Zn1 0.0000 0.0000 0.5000 (multiplicity 1)
Ga1 0.0000 0.5000 0.0000 (multiplicity 2)
Ga2 0.0000 0.5000 0.3494 (multiplicity 4)
Ga3 0.5000 0.5000 0.1641 (multiplicity 2)
Ga4 0.5000 0.5000 0.5000 (multiplicity 1)

Properties
The calculation puts the energy of formation from the pure elements at -0.321 eV per atom. The total energy comes out at -3.4599 eV per atom. The calculation puts the density at 7.5 g/cm³.